[1]
Compound: PtAuCl2
Source: Alexandria via LeMat-Bulk
Functional: PBE
Structure: relaxed

a b c (Å): 4.709 4.709 4.709
angles (deg): 60.00 60.00 60.00
Fractional coordinates of all 4 atoms:
Au1 0.500 0.500 0.500
Pt1 0.750 0.750 0.750
Cl1 0.000 0.000 0.000
Cl2 0.250 0.250 0.250

Magnetization ... 0.00 μB per formula unit
Energy above the most stable polymorph in this dataset ... 749 meV/atom
Symmetry ... F-43m (216)
VASP energy ... -2.5786 eV/atom
Energy relative to the elements, uncorrected ... 0.6743 eV/atom

[2]
Compound: PtAuCl6
Source: Alexandria via LeMat-Bulk
Functional: PBE
Structure: relaxed

a b c (Å): 6.402 6.402 7.873
angles (deg): 112.27 112.27 102.75
Fractional coordinates of all 8 atoms:
Pt1 0.500 0.500 0.500
Au1 0.000 0.000 0.000
Cl1 0.596 0.919 0.717
Cl2 0.919 0.596 0.717
Cl3 0.081 0.404 0.283
Cl4 0.404 0.081 0.283
Cl5 0.407 0.407 0.732
Cl6 0.593 0.593 0.268

Magnetization ... 0.00 μB per formula unit
Symmetry ... C2/m (12)
VASP energy ... -2.8550 eV/atom
Energy relative to the elements, uncorrected ... -0.3052 eV/atom

[3]
Compound: PtAuCl2
Source: Alexandria via LeMat-Bulk
Functional: PBE
Structure: relaxed

a b c (Å): 4.717 4.717 4.717
angles (deg): 60.00 60.00 60.00
Fractional coordinates of all 4 atoms:
Au1 0.500 0.500 0.500
Pt1 0.000 0.000 0.000
Cl1 0.250 0.250 0.250
Cl2 0.750 0.750 0.750

Magnetization ... 0.96 μB per formula unit
Energy above the most stable polymorph in this dataset ... 730 meV/atom
Symmetry ... Fm-3m (225)
VASP energy ... -2.5977 eV/atom
Energy relative to the elements, uncorrected ... 0.6552 eV/atom

[4]
Compound: Pt2AuCl
Source: Alexandria via LeMat-Bulk
Functional: PBE
Structure: relaxed

a b c (Å): 4.072 4.114 4.114
angles (deg): 90.00 90.00 90.00
Fractional coordinates of all 4 atoms:
Au1 0.500 0.500 0.000
Cl1 0.500 0.000 0.500
Pt1 0.000 0.000 0.000
Pt2 0.000 0.500 0.500

Magnetization ... 0.00 μB per formula unit
Energy above the most stable polymorph in this dataset ... 508 meV/atom
Symmetry ... P4/mmm (123)
VASP energy ... -3.6088 eV/atom
Energy relative to the elements, uncorrected ... 0.6926 eV/atom

[5]
Compound: PtAuCl2
Source: Alexandria via LeMat-Bulk
Functional: PBE
Structure: relaxed

a b c (Å): 4.668 4.668 3.380
angles (deg): 90.00 90.00 90.89
Fractional coordinates of all 4 atoms:
Au1 0.000 0.500 0.500
Pt1 0.500 0.000 0.500
Cl1 0.000 0.000 0.000
Cl2 0.500 0.500 0.000

Magnetization ... 0.00 μB per formula unit
Energy above the most stable polymorph in this dataset ... 700 meV/atom
Symmetry ... Cmmm (65)
VASP energy ... -2.6275 eV/atom
Energy relative to the elements, uncorrected ... 0.6254 eV/atom

[6]
Compound: PtAu4Cl
Source: Alexandria via LeMat-Bulk
Functional: PBE
Structure: relaxed

a b c (Å): 5.506 5.506 5.506
angles (deg): 60.00 60.00 60.00
Fractional coordinates of all 6 atoms:
Pt1 0.000 0.000 0.000
Au1 0.876 0.375 0.375
Au2 0.375 0.375 0.876
Au3 0.375 0.876 0.375
Au4 0.375 0.375 0.375
Cl1 0.750 0.750 0.750

Magnetization ... 0.00 μB per formula unit
Symmetry ... F-43m (216)
VASP energy ... -3.0466 eV/atom
Energy relative to the elements, uncorrected ... 0.4529 eV/atom

[7]
Compound: PtAuCl4
Source: Alexandria via LeMat-Bulk
Functional: PBE
Structure: relaxed

a b c (Å): 4.578 8.151 6.585
angles (deg): 124.87 104.09 92.91
Fractional coordinates of all 6 atoms:
Pt1 0.542 0.542 0.000
Au1 0.542 0.042 0.500
Cl1 0.289 0.321 0.554
Cl2 0.794 0.763 0.446
Cl3 0.455 0.827 0.023
Cl4 0.628 0.256 0.977

Magnetization ... 0.00 μB per formula unit
Energy above the most stable polymorph in this dataset ... 0 meV/atom
Symmetry ... P-1 (2)
VASP energy ... -3.0677 eV/atom
Energy relative to the elements, uncorrected ... -0.2836 eV/atom

[8]
Compound: PtAuCl2
Source: Alexandria via LeMat-Bulk
Functional: PBE
Structure: relaxed

a b c (Å): 8.014 8.014 8.014
angles (deg): 26.53 26.53 26.53
Fractional coordinates of all 4 atoms:
Au1 0.759 0.759 0.759
Pt1 0.495 0.495 0.495
Cl1 0.026 0.026 0.026
Cl2 0.219 0.219 0.219

Magnetization ... 1.05 μB per formula unit
Energy above the most stable polymorph in this dataset ... 0 meV/atom
Symmetry ... R3m (160)
VASP energy ... -3.3277 eV/atom
Energy relative to the elements, uncorrected ... -0.0748 eV/atom

[9]
Compound: PtAuCl2
Source: Alexandria via LeMat-Bulk
Functional: PBE
Structure: relaxed

a b c (Å): 3.344 6.479 6.480
angles (deg): 50.16 90.00 90.00
Fractional coordinates of all 4 atoms:
Au1 0.500 0.750 0.750
Pt1 0.500 0.250 0.250
Cl1 0.000 0.109 0.109
Cl2 0.000 0.391 0.391

Magnetization ... 0.05 μB per formula unit
Energy above the most stable polymorph in this dataset ... 128 meV/atom
Symmetry ... Cmmm (65)
VASP energy ... -3.1998 eV/atom
Energy relative to the elements, uncorrected ... 0.0530 eV/atom

[10]
Compound: PtAuSCl2
Source: Alexandria via LeMat-Bulk
Functional: PBE
Structure: relaxed

a b c (Å): 4.810 4.810 5.098
angles (deg): 90.00 90.00 90.00
Fractional coordinates of all 5 atoms:
S1 0.000 0.000 0.500
Au1 0.000 0.000 0.000
Pt1 0.500 0.500 0.500
Cl1 0.000 0.500 0.000
Cl2 0.500 0.000 0.000

Magnetization ... 1.13 μB per formula unit
Energy above the most stable polymorph in this dataset ... 520 meV/atom
Symmetry ... P4/mmm (123)
VASP energy ... -2.5270 eV/atom
Energy relative to the elements, uncorrected ... 0.9008 eV/atom

[11]
Compound: PtAuSCl2
Source: Alexandria via LeMat-Bulk
Functional: PBE
Structure: relaxed

a b c (Å): 4.653 5.514 4.653
angles (deg): 90.00 90.00 90.00
Fractional coordinates of all 5 atoms:
S1 0.500 0.500 0.500
Au1 0.000 0.500 0.000
Pt1 0.000 0.000 0.000
Cl1 0.000 0.000 0.500
Cl2 0.500 0.000 0.000

Magnetization ... 1.67 μB per formula unit
Energy above the most stable polymorph in this dataset ... 199 meV/atom
Symmetry ... P4/mmm (123)
VASP energy ... -2.8479 eV/atom
Energy relative to the elements, uncorrected ... 0.5799 eV/atom

[12]
Compound: PtAuSCl2
Source: Alexandria via LeMat-Bulk
Functional: PBE
Structure: relaxed

a b c (Å): 4.940 4.940 4.607
angles (deg): 90.00 90.00 90.00
Fractional coordinates of all 5 atoms:
S1 0.000 0.000 0.500
Au1 0.500 0.500 0.500
Pt1 0.000 0.000 0.000
Cl1 0.000 0.500 0.000
Cl2 0.500 0.000 0.000

Magnetization ... 0.00 μB per formula unit
Energy above the most stable polymorph in this dataset ... 0 meV/atom
Symmetry ... P4/mmm (123)
VASP energy ... -3.0469 eV/atom
Energy relative to the elements, uncorrected ... 0.3809 eV/atom